Here is crystalline Rb2MnSiF6 at its relaxed geometry from Alexandria. Energies are from PBE with a Hubbard U.

Fermi-level density of states: 0.0 states/eV/cell
Space-group type: Fm-3m
Final energy: -50.86 eV for the cell shown

```
Rb2MnSiF6
1.0
6.154 0.000 0.000
0.000 6.154 0.000
3.077 3.077 4.354
F Si Rb Mn
6 1 2 1
direct
0.248 0.248 0.505 F
0.248 0.248 0.000 F
0.752 0.752 0.000 F
0.248 0.752 0.000 F
0.752 0.248 0.000 F
0.752 0.752 0.495 F
0.500 0.500 0.000 Si
0.750 0.250 0.500 Rb
0.250 0.750 0.500 Rb
0.000 0.000 0.000 Mn
```